Entry 1:
Entry from Alexandria via LeMat-Bulk: crystalline Li2GaCu8 at its relaxed geometry (PBE).

Results
Its distance to the lowest polymorph of the same formula is 0.0476 eV per atom. The value obtained for the total moment is 0.00 μB/atom. The calculation puts the calculated formation energy at 64 meV per atom. The final energy is -3.538 eV per atom.

The structure in CIF format:
```
data_Li2GaCu8
_cell_length_a 6.712
_cell_length_b 11.483
_cell_length_c 4.429
_cell_angle_alpha 90.00
_cell_angle_beta 123.18
_cell_angle_gamma 90.00
_space_group_name_H-M_alt 'C 1 2/m 1'
_space_group_IT_number 12
loop_
_space_group_symop_operation_xyz
'x,y,z'
'-x,-y,-z'
'-x,y,-z'
'x,-y,z'
'x+1/2,y+1/2,z'
'-x+1/2,-y+1/2,-z'
'-x+1/2,y+1/2,-z'
'x+1/2,-y+1/2,z'
loop_
_atom_site_label
_atom_site_fract_x
_atom_site_fract_y
_atom_site_fract_z
_atom_site_occupancy
Li1 0.000 0.190 0.000 1
Ga1 0.000 0.500 0.500 1
Cu1 0.000 0.287 0.500 1
Cu2 0.086 0.000 0.315 1
Cu3 0.214 0.384 0.134 1
```

---

Entry 2:
Entry from Alexandria via LeMat-Bulk: crystalline BeHg2P at its relaxed geometry (PBE).

Results
Its distance to the lowest polymorph of the same formula is 0.6236 eV per atom. The value obtained for the total moment is 0.00 μB/atom. The calculation puts the calculated formation energy at 648 meV per atom. The final energy is -1.787 eV per atom.

The structure in CIF format:
```
data_BeHg2P
_cell_length_a 3.543
_cell_length_b 5.286
_cell_length_c 7.978
_cell_angle_alpha 90.00
_cell_angle_beta 90.00
_cell_angle_gamma 90.00
_space_group_name_H-M_alt 'C m m m'
_space_group_IT_number 65
_space_group_name_Hall '-C 2 2'
loop_
_atom_site_label
_atom_site_fract_x
_atom_site_fract_y
_atom_site_fract_z
_atom_site_occupancy
Be1 0.000 0.000 0.000 1
Hg1 0.000 0.500 0.223 1
P1 0.000 0.000 0.500 1
```

---

Entry 3:
Entry from Alexandria via LeMat-Bulk: crystalline TmBIr at its relaxed geometry (PBE).

Results
Its distance to the lowest polymorph of the same formula is 0.3692 eV per atom. The value obtained for the total moment is 0.00 μB/atom. The calculation puts the calculated formation energy at -326 meV per atom. The final energy is -6.996 eV per atom.

The structure in CIF format:
```
data_TmBIr
_cell_length_a 2.929
_cell_length_b 2.929
_cell_length_c 10.188
_cell_angle_alpha 90.00
_cell_angle_beta 90.00
_cell_angle_gamma 90.00
_space_group_name_H-M_alt 'I 4 m m'
_space_group_IT_number 107
_space_group_name_Hall 'I 4 -2'
loop_
_atom_site_label
_atom_site_fract_x
_atom_site_fract_y
_atom_site_fract_z
_atom_site_occupancy
Tm1 0.000 0.000 0.000 1
B1 0.000 0.000 0.688 1
Ir1 0.000 0.000 0.280 1
```